Here is an optimized crystal structure of ZnAgBr3 from Alexandria. Energies are from GGA-PBEsol.

Properties
The value obtained for the total magnetic moment is 0.00 Bohr magnetons per cell. As for the uncorrected formation energy: -19.64 kJ per mole of atoms.

The structure in POSCAR format:
```
ZnAgBr3
1.0
5.050 0.000 0.000
0.000 5.050 0.000
0.000 0.000 5.050
Br Zn Ag
3 1 1
Direct
0.500 0.000 0.000 Br
0.000 0.500 0.000 Br
0.000 0.000 0.500 Br
0.000 0.000 0.000 Zn
0.500 0.500 0.500 Ag
```



Here is an optimized crystal structure of AlZn2Se from Alexandria. Energies are from GGA-PBEsol.

Properties
The value obtained for the total magnetic moment is 0.00 Bohr magnetons per cell. As for the uncorrected formation energy: 9.84 kJ per mole of atoms. The calculation puts the relative energy among the computed polymorphs at 0.0 meV/atom.

The structure in POSCAR format:
```
AlZn2Se
1.0
3.505 0.000 0.000
0.000 4.121 0.000
0.000 0.000 4.830
Al Se Zn
1 1 2
Direct
0.500 0.000 0.500 Al
0.000 0.500 0.500 Se
0.500 0.500 0.000 Zn
0.000 0.000 0.000 Zn
```



Here is an optimized crystal structure of CaLa2TiAl from Alexandria. Energies are from GGA-PBEsol.

Properties
For the energy of formation from the pure elements, the calculation gives 110.5 kJ per mole of atoms. The value obtained for the total magnetic moment is 0.01 Bohr magnetons per cell.

The structure in POSCAR format:
```
CaLa2TiAl
1.0
-3.526 1.961 2.455
-0.970 -4.874 2.501
3.572 1.363 4.042
Ca Al La Ti
1 1 2 1
Direct
0.000 0.000 0.000 Ca
0.500 0.500 0.500 Al
0.000 0.500 0.000 La
0.000 0.000 0.500 La
0.500 0.000 0.000 Ti
```



Here is an optimized crystal structure of Nb2CuAgCl from Alexandria. Energies are from GGA-PBEsol.

Properties
The value obtained for the total magnetic moment is 3.35 Bohr magnetons per cell. As for the uncorrected formation energy: 158.81 kJ per mole of atoms.

The structure in POSCAR format:
```
Nb2CuAgCl
1.0
4.578 0.000 0.000
0.000 5.007 0.000
0.000 0.000 5.007
Cu Nb Ag Cl
1 2 1 1
Direct
0.500 0.000 0.000 Cu
0.000 0.000 0.500 Nb
0.000 0.500 0.000 Nb
0.000 0.000 0.000 Ag
0.500 0.500 0.500 Cl
```



Here is an optimized crystal structure of CrTcRhAu2 from Alexandria. Energies are from GGA-PBEsol.

Properties
For the energy of formation from the pure elements, the calculation gives 148.6 kJ per mole of atoms. The value obtained for the total magnetic moment is 5.81 Bohr magnetons per cell.

The structure in POSCAR format:
```
CrTcRhAu2
1.0
-1.634 -2.928 2.610
4.311 -0.809 1.790
-0.737 3.336 3.282
Rh Au Cr Tc
1 2 1 1
Direct
0.500 0.000 0.000 Rh
0.000 0.500 0.000 Au
0.000 0.000 0.500 Au
0.000 0.000 0.000 Cr
0.500 0.500 0.500 Tc
```



Here is an optimized crystal structure of NaLaGa4S8 from Alexandria. Energies are from GGA-PBEsol.

Properties
The value obtained for the total magnetic moment is 0.00 Bohr magnetons per cell. As for the uncorrected formation energy: -103.90 kJ per mole of atoms.

The structure in POSCAR format:
```
NaLaGa4S8
1.0
-1.874 -10.223 -5.463
11.092 3.080 2.313
-5.175 -1.097 10.507
La S Ga Na
4 32 16 4
Direct
0.250 0.750 0.500 La
0.000 0.000 0.000 La
0.750 0.250 0.500 La
0.500 0.500 0.000 La
0.284 0.719 0.254 S
0.281 0.716 0.746 S
0.775 0.191 0.247 S
0.211 0.464 0.421 S
0.043 0.790 0.579 S
0.475 0.559 0.253 S
0.216 0.463 0.920 S
0.944 0.528 0.753 S
0.778 0.694 0.253 S
0.714 0.961 0.921 S
0.441 0.525 0.747 S
0.713 0.966 0.420 S
0.039 0.286 0.079 S
0.465 0.030 0.746 S
0.536 0.789 0.579 S
0.969 0.034 0.754 S
0.040 0.793 0.079 S
0.472 0.056 0.247 S
0.707 0.454 0.420 S
0.207 0.960 0.921 S
0.809 0.225 0.753 S
0.704 0.457 0.920 S
0.210 0.957 0.421 S
0.543 0.296 0.080 S
0.966 0.031 0.246 S
0.970 0.535 0.254 S
0.280 0.215 0.246 S
0.034 0.287 0.580 S
0.785 0.720 0.754 S
0.546 0.293 0.580 S
0.537 0.784 0.080 S
0.306 0.222 0.747 S
0.265 0.405 0.250 Ga
0.742 0.513 0.755 Ga
0.655 0.015 0.750 Ga
0.013 0.242 0.755 Ga
0.595 0.735 0.750 Ga
0.508 0.237 0.745 Ga
0.095 0.735 0.750 Ga
0.487 0.258 0.245 Ga
0.763 0.492 0.255 Ga
0.985 0.845 0.250 Ga
0.265 0.905 0.250 Ga
0.155 0.015 0.750 Ga
0.758 0.987 0.245 Ga
0.492 0.763 0.255 Ga
0.985 0.345 0.250 Ga
0.237 0.508 0.745 Ga
0.497 0.997 0.994 Na
0.003 0.503 0.006 Na
0.753 0.753 0.506 Na
0.247 0.247 0.494 Na
```



Here is an optimized crystal structure of Dy2Ti12Cu9O36 from Alexandria. Energies are from GGA-PBEsol.

Properties
The value obtained for the total magnetic moment is 8.80 Bohr magnetons per cell. As for the uncorrected formation energy: -224.82 kJ per mole of atoms.

The structure in POSCAR format:
```
Dy2Ti12Cu9O36
1.0
-2.779 -1.029 -5.648
8.264 -5.495 -3.065
-7.918 -4.747 4.760
O Ti Cu Dy
36 12 9 2
Direct
0.749 0.549 0.924 O
0.912 0.588 0.707 O
0.145 0.473 0.823 O
0.145 0.177 0.650 O
0.912 0.120 0.412 O
0.408 0.225 0.271 O
0.088 0.707 0.120 O
0.518 0.490 0.683 O
0.251 0.451 0.076 O
0.749 0.076 0.625 O
0.251 0.924 0.375 O
0.592 0.271 0.046 O
0.482 0.683 0.192 O
0.749 0.375 0.451 O
0.169 0.165 0.015 O
0.088 0.412 0.293 O
0.408 0.729 0.954 O
0.482 0.808 0.490 O
0.855 0.650 0.473 O
0.592 0.954 0.225 O
0.592 0.775 0.729 O
0.408 0.046 0.775 O
0.518 0.192 0.510 O
0.145 0.350 0.527 O
0.855 0.527 0.177 O
0.169 0.985 0.150 O
0.831 0.835 0.985 O
0.831 0.015 0.850 O
0.912 0.293 0.880 O
0.855 0.823 0.350 O
0.518 0.317 0.808 O
0.251 0.625 0.549 O
0.169 0.850 0.835 O
0.831 0.150 0.165 O
0.088 0.880 0.588 O
0.482 0.510 0.317 O
0.338 0.842 0.161 Ti
0.338 0.839 0.681 Ti
0.660 0.667 0.333 Ti
0.338 0.319 0.158 Ti
0.000 0.500 0.500 Ti
0.340 0.333 0.667 Ti
0.662 0.681 0.842 Ti
0.662 0.161 0.319 Ti
0.000 0.000 0.000 Ti
0.000 0.000 0.500 Ti
0.000 0.500 0.000 Ti
0.662 0.158 0.839 Ti
0.160 0.169 0.337 Cu
0.840 0.337 0.169 Cu
0.840 0.831 0.663 Cu
0.500 0.000 0.500 Cu
0.500 0.500 0.000 Cu
0.840 0.831 0.169 Cu
0.160 0.663 0.831 Cu
0.500 0.500 0.500 Cu
0.160 0.169 0.831 Cu
0.171 0.667 0.333 Dy
0.829 0.333 0.667 Dy
```



Here is an optimized crystal structure of KMnSe2N from Alexandria. Energies are from GGA-PBEsol.

Properties
The value obtained for the total magnetic moment is 1.62 Bohr magnetons per cell. As for the uncorrected formation energy: -17.22 kJ per mole of atoms.

The structure in POSCAR format:
```
KMnSe2N
1.0
-3.088 1.527 0.316
-0.628 -2.234 4.657
2.261 4.099 2.271
Mn Se N K
1 2 1 1
Direct
0.000 0.000 0.000 Mn
0.000 0.500 0.000 Se
0.000 0.000 0.500 Se
0.500 0.000 0.000 N
0.500 0.500 0.500 K
```



Here is an optimized crystal structure of NiTeRh from Alexandria. Energies are from GGA-PBEsol.

Properties
The value obtained for the total magnetic moment is 0.00 Bohr magnetons per cell. As for the uncorrected formation energy: 6.51 kJ per mole of atoms.

The structure in POSCAR format:
```
NiTeRh
1.0
3.225 0.000 0.000
0.000 4.089 0.000
0.000 -2.045 3.541
Rh Te Ni
1 1 1
Direct
0.637 0.667 0.333 Rh
0.274 0.333 0.667 Te
0.089 0.000 0.000 Ni
```



Here is an optimized crystal structure of Li4AsCl from Alexandria. Energies are from GGA-PBEsol.

Properties
The value obtained for the total magnetic moment is 0.04 Bohr magnetons per cell. As for the uncorrected formation energy: -24.11 kJ per mole of atoms.

The structure in POSCAR format:
```
Li4AsCl
1.0
5.184 0.000 0.000
2.592 4.489 0.000
2.592 1.496 4.232
Li Cl As
4 1 1
Direct
0.379 0.379 0.379 Li
0.379 0.863 0.379 Li
0.379 0.379 0.863 Li
0.863 0.379 0.379 Li
0.000 0.000 0.000 Cl
0.750 0.750 0.750 As
```



Here is an optimized crystal structure of Mg2SiS4 from Alexandria. Energies are from GGA-PBEsol.

Properties
The value obtained for the total magnetic moment is 0.00 Bohr magnetons per cell. As for the uncorrected formation energy: -112.35 kJ per mole of atoms.

The structure in POSCAR format:
```
Mg2SiS4
1.0
5.906 0.000 0.000
0.000 7.400 0.000
0.000 0.000 12.645
Mg S Si
8 16 4
Direct
0.500 0.000 0.500 Mg
0.000 0.000 0.000 Mg
0.509 0.250 0.231 Mg
0.000 0.500 0.000 Mg
0.500 0.500 0.500 Mg
0.991 0.250 0.731 Mg
0.009 0.750 0.269 Mg
0.491 0.750 0.769 Mg
0.748 0.977 0.167 S
0.748 0.523 0.167 S
0.752 0.523 0.667 S
0.737 0.250 0.408 S
0.248 0.477 0.333 S
0.252 0.023 0.833 S
0.761 0.750 0.434 S
0.248 0.023 0.333 S
0.763 0.250 0.908 S
0.239 0.250 0.566 S
0.739 0.750 0.934 S
0.261 0.250 0.066 S
0.252 0.477 0.833 S
0.752 0.977 0.667 S
0.263 0.750 0.592 S
0.237 0.750 0.092 S
0.406 0.250 0.910 Si
0.906 0.750 0.590 Si
0.594 0.750 0.090 Si
0.094 0.250 0.410 Si
```



Here is an optimized crystal structure of Sr3HgI from Alexandria. Energies are from GGA-PBEsol.

Properties
The value obtained for the total magnetic moment is 1.36 Bohr magnetons per cell. As for the uncorrected formation energy: -13.50 kJ per mole of atoms.

The structure in POSCAR format:
```
Sr3HgI
1.0
6.108 0.000 0.000
0.000 6.108 0.000
0.000 0.000 6.108
I Sr Hg
1 3 1
Direct
0.000 0.000 0.000 I
0.000 0.500 0.000 Sr
0.000 0.000 0.500 Sr
0.500 0.000 0.000 Sr
0.500 0.500 0.500 Hg
```